# 1
VASP calculation (PBE) on ScInIO2 after structural relaxation.

Results
Its space-group type is P4/mmm, No. 123. The energy relative to the lowest polymorph listed for this composition is 0 meV per atom.

a = 4.323 Å, b = 4.323 Å, c = 5.859 Å
α = 90.00°, β = 90.00°, γ = 90.00°
Fractional coordinates of all 5 atoms:
Sc (0.000, 0.000, 0.000)
O (0.000, 0.500, 0.000)
O (0.500, 0.000, 0.000)
I (0.000, 0.000, 0.500)
In (0.500, 0.500, 0.500)



# 2
VASP calculation (PBE) on KDyCuF6 after structural relaxation.

Results
Its space-group type is Imma, No. 74.

a = 7.333 Å, b = 7.442 Å, c = 7.290 Å
α = 120.69°, β = 120.20°, γ = 90.00°
Fractional coordinates of all 18 atoms:
F (0.437, 0.613, 0.264)
F (0.563, 0.387, 0.736)
F (0.173, 0.849, 0.736)
F (0.877, 0.127, 0.753)
F (0.827, 0.613, 0.264)
F (0.381, 0.131, 0.762)
F (0.123, 0.873, 0.247)
F (0.563, 0.849, 0.736)
F (0.173, 0.387, 0.736)
F (0.827, 0.151, 0.264)
F (0.437, 0.151, 0.264)
F (0.619, 0.869, 0.238)
Dy (0.000, 0.000, 0.500)
Dy (0.500, 0.000, 0.500)
K (0.839, 0.589, 0.679)
K (0.161, 0.411, 0.321)
Cu (0.500, 0.000, 0.000)
Cu (0.500, 0.500, 0.000)



Values for ρ, g cm⁻³, ordered as above
4.83; 4.54
Values for total DFT energy (no corrections), eV per atom, ordered as above
-5.369; -5.274
Values for formation energy from raw total energies, kJ/mol of atoms, ordered as above
-121.78; -283.52